Record 1
A plane-wave DFT calculation with PBE-GGA was carried out for an optimized crystal structure of CaNbCo2S.

```
5
Lattice="4.290 0.000 0.000 0.000 4.290 0.000 0.000 0.000 4.861" Properties=species:S:1:pos:R:3 pbc="T T T"
Ca 0.000 0.000 0.000
Nb 2.145 2.145 2.430
Co 0.000 2.145 0.000
Co 2.145 0.000 0.000
S 0.000 0.000 2.430
```

Values from the calculation:
Size of the total moment (μB per formula unit): 0.00
VASP energy (eV/atom): -4.520
Volume (Å³/cell): 89.4
ΔE_f (raw) (meV/atom): 1562

Record 2
A plane-wave DFT calculation with PBE-GGA was carried out for an optimized crystal structure of Ca2NbCoSb.

```
5
Lattice="5.860 0.000 0.000 0.000 5.860 0.000 0.000 0.000 4.654" Properties=species:S:1:pos:R:3 pbc="T T T"
Ca 0.000 2.930 0.000
Ca 2.930 0.000 0.000
Nb 0.000 0.000 2.327
Co 2.930 2.930 2.327
Sb 2.930 2.930 0.000
```

Values from the calculation:
Size of the total moment (μB per formula unit): 3.03
VASP energy (eV/atom): -4.231
Volume (Å³/cell): 159.8
ΔE_f (raw) (meV/atom): 829

Record 3
A plane-wave DFT calculation with PBE-GGA was carried out for an optimized crystal structure of CaNbCo2Te.

```
5
Lattice="4.482 0.000 0.000 0.000 4.482 0.000 0.000 0.000 5.966" Properties=species:S:1:pos:R:3 pbc="T T T"
Ca 0.000 0.000 0.000
Nb 0.000 0.000 2.983
Co 0.000 2.241 2.983
Co 2.241 0.000 2.983
Te 2.241 2.241 0.000
```

Values from the calculation:
Size of the total moment (μB per formula unit): 0.00
VASP energy (eV/atom): -4.954
Volume (Å³/cell): 119.9
ΔE_f (raw) (meV/atom): 931

Record 4
A plane-wave DFT calculation with PBE-GGA was carried out for an optimized crystal structure of CaNbVCo2.

```
5
Lattice="4.328 0.000 0.000 0.000 4.328 0.000 0.000 0.000 4.498" Properties=species:S:1:pos:R:3 pbc="T T T"
Ca 0.000 0.000 0.000
Nb 2.164 2.164 2.249
V 0.000 0.000 2.249
Co 0.000 2.164 0.000
Co 2.164 0.000 0.000
```

Values from the calculation:
Size of the total moment (μB per formula unit): 3.23
VASP energy (eV/atom): -5.238
ΔE_f (kcal/mol of atoms): 42.48
Volume (Å³/cell): 84.3

Record 5
A plane-wave DFT calculation with PBE-GGA was carried out for an optimized crystal structure of CaNdCo.

```
3
Lattice="-1.736 1.736 6.577 1.736 -1.736 6.577 1.736 1.736 -6.577" Properties=species:S:1:pos:R:3 pbc="T T T"
Ca 0.000 0.000 0.000
Nd 0.000 0.000 3.314
Co 0.000 0.000 8.396
```

Values from the calculation:
Size of the total moment (μB per formula unit): 0.32
VASP energy (eV/atom): -4.543
ΔE_f (kcal/mol of atoms): 1.90
Volume (Å³/cell): 79.3
Distance to the lowest polymorph of the same formula (eV/f.u.): 0.36

Record 6
A plane-wave DFT calculation with PBE-GGA was carried out for an optimized crystal structure of CaNd2Co.

```
8
Lattice="1.943 -6.336 0.000 1.943 6.336 0.000 0.000 0.000 9.387" Properties=species:S:1:pos:R:3 pbc="T T T"
Ca 1.943 5.323 7.040
Ca 1.943 -5.323 2.347
Nd 1.943 1.837 5.343
Nd 1.943 1.837 8.738
Nd 1.943 -1.837 0.650
Nd 1.943 -1.837 4.044
Co 1.943 3.326 2.347
Co 1.943 -3.326 7.040
```

Values from the calculation:
Size of the total moment (μB per formula unit): 0.00
VASP energy (eV/atom): -4.636
ΔE_f (kcal/mol of atoms): 0.56
Volume (Å³/cell): 231.2
Distance to the lowest polymorph of the same formula (eV/f.u.): 0.23

Record 7
A plane-wave DFT calculation with PBE-GGA was carried out for an optimized crystal structure of CaNdCo.

```
6
Lattice="2.005 -10.885 0.000 2.005 10.885 0.000 0.000 0.000 3.955" Properties=species:S:1:pos:R:3 pbc="T T T"
Ca 2.005 6.775 2.966
Ca 2.005 -6.775 0.989
Nd 2.005 1.560 2.966
Nd 2.005 -1.560 0.989
Co 2.005 10.277 2.966
Co 2.005 -10.277 0.989
```

Values from the calculation:
Size of the total moment (μB per formula unit): 0.52
VASP energy (eV/atom): -4.661
ΔE_f (kcal/mol of atoms): -0.84
Volume (Å³/cell): 172.6
Distance to the lowest polymorph of the same formula (eV/f.u.): 0.00

Record 8
A plane-wave DFT calculation with PBE-GGA was carried out for an optimized crystal structure of Ca2Nd5Co2.

```
18
Lattice="9.753 -3.802 0.000 9.753 3.802 0.000 0.000 0.000 7.604" Properties=species:S:1:pos:R:3 pbc="T T T"
Ca 4.475 0.000 0.000
Ca 5.278 0.000 3.802
Ca 14.228 0.000 3.802
Ca 15.032 0.000 0.000
Nd 0.000 0.000 0.000
Nd 7.879 2.514 5.083
Nd 7.879 1.288 1.281
Nd 11.627 2.514 5.083
Nd 11.627 1.288 1.281
Nd 9.753 0.000 3.802
Nd 7.879 -1.288 6.322
Nd 7.879 -2.514 2.521
Nd 11.627 -1.288 6.322
Nd 11.627 -2.514 2.521
Co 9.753 2.803 2.801
Co 9.753 0.999 6.603
Co 9.753 -0.999 1.001
Co 9.753 -2.803 4.803
```

Values from the calculation:
Size of the total moment (μB per formula unit): 0.00
VASP energy (eV/atom): -4.671
ΔE_f (kcal/mol of atoms): 0.05
Volume (Å³/cell): 563.9

Record 9
A plane-wave DFT calculation with PBE-GGA was carried out for an optimized crystal structure of CaNdCo.

```
6
Lattice="7.168 -1.941 0.000 7.168 1.941 0.000 -3.462 0.000 6.139" Properties=species:S:1:pos:R:3 pbc="T T T"
Ca 2.516 0.000 1.422
Ca 8.358 0.000 4.717
Nd 6.269 0.000 1.595
Nd 4.605 0.000 4.544
Co -0.707 0.000 3.641
Co 11.580 0.000 2.497
```

Values from the calculation:
Size of the total moment (μB per formula unit): 0.15
VASP energy (eV/atom): -4.535
ΔE_f (kcal/mol of atoms): 2.07
Volume (Å³/cell): 170.8
Distance to the lowest polymorph of the same formula (eV/f.u.): 0.38

Record 10
A plane-wave DFT calculation with PBE-GGA was carried out for an optimized crystal structure of CaNd4Co4.

```
18
Lattice="8.716 0.000 0.000 0.000 8.716 0.000 0.000 0.000 5.653" Properties=species:S:1:pos:R:3 pbc="T T T"
Ca 2.179 2.179 1.413
Ca 6.537 6.537 4.239
Nd 0.509 5.882 0.718
Nd 1.523 8.207 3.544
Nd 2.835 4.867 3.544
Nd 3.849 7.193 0.718
Nd 4.867 1.523 4.934
Nd 5.882 3.849 2.108
Nd 7.193 0.509 2.108
Nd 8.207 2.835 4.934
Co 0.179 5.313 3.439
Co 0.955 8.537 0.612
Co 3.403 4.537 0.612
Co 4.179 7.761 3.439
Co 4.537 0.955 2.214
Co 5.313 4.179 5.040
Co 7.761 0.179 5.040
Co 8.537 3.403 2.214
```

Values from the calculation:
Size of the total moment (μB per formula unit): 0.00
VASP energy (eV/atom): -5.392
ΔE_f (kcal/mol of atoms): 2.49
Volume (Å³/cell): 429.4

Record 11
A plane-wave DFT calculation with PBE-GGA was carried out for an optimized crystal structure of CaNd2Co.

```
8
Lattice="7.010 -1.894 0.000 7.010 1.894 0.000 -0.952 0.000 9.026" Properties=species:S:1:pos:R:3 pbc="T T T"
Ca 1.337 0.000 4.172
Ca 11.730 0.000 4.854
Nd 3.072 0.000 7.591
Nd 6.249 0.000 1.593
Nd 6.818 0.000 7.433
Nd 9.995 0.000 1.435
Co 1.198 0.000 0.564
Co 11.869 0.000 8.462
```

Values from the calculation:
Size of the total moment (μB per formula unit): 0.00
VASP energy (eV/atom): -4.694
ΔE_f (kcal/mol of atoms): -0.77
Volume (Å³/cell): 239.6
Distance to the lowest polymorph of the same formula (eV/f.u.): 0.00

Record 12
A plane-wave DFT calculation with PBE-GGA was carried out for an optimized crystal structure of CaNdCo4.

```
6
Lattice="0.000 3.642 3.642 3.642 0.000 3.642 3.642 3.642 0.000" Properties=species:S:1:pos:R:3 pbc="T T T"
Ca 0.000 0.000 0.000
Nd 1.821 1.821 1.821
Co 4.552 2.731 2.731
Co 2.731 4.552 2.731
Co 2.731 2.731 4.552
Co 4.552 4.552 4.552
```

Values from the calculation:
Size of the total moment (μB per formula unit): 4.76
VASP energy (eV/atom): -5.839
ΔE_f (kcal/mol of atoms): 0.62
Volume (Å³/cell): 96.6

Record 13
A plane-wave DFT calculation with PBE-GGA was carried out for an optimized crystal structure of CaNd2Co.

```
4
Lattice="1.988 1.148 9.640 -1.988 1.148 9.640 0.000 -2.296 9.640" Properties=species:S:1:pos:R:3 pbc="T T T"
Ca 0.000 0.000 0.000
Nd 0.000 0.000 6.316
Nd 0.000 0.000 22.604
Co 0.000 0.000 14.460
```

Values from the calculation:
Size of the total moment (μB per formula unit): 0.00
VASP energy (eV/atom): -4.654
ΔE_f (kcal/mol of atoms): 0.15
Volume (Å³/cell): 132.0
Distance to the lowest polymorph of the same formula (eV/f.u.): 0.16

Record 14
A plane-wave DFT calculation with PBE-GGA was carried out for an optimized crystal structure of CaNdCo.

```
12
Lattice="3.563 -6.461 0.000 3.563 6.461 0.000 0.000 0.000 7.468" Properties=species:S:1:pos:R:3 pbc="T T T"
Ca 3.563 3.834 6.604
Ca 3.563 2.626 2.870
Ca 3.563 -2.626 4.598
Ca 3.563 -3.834 0.864
Nd 1.781 0.500 5.601
Nd 1.781 -0.500 1.867
Nd 5.344 0.500 5.601
Nd 5.344 -0.500 1.867
Co 3.563 5.367 4.026
Co 3.563 1.094 0.292
Co 3.563 -1.094 7.176
Co 3.563 -5.367 3.442
```

Values from the calculation:
Size of the total moment (μB per formula unit): 0.32
VASP energy (eV/atom): -4.536
ΔE_f (kcal/mol of atoms): 2.06
Volume (Å³/cell): 343.8
Distance to the lowest polymorph of the same formula (eV/f.u.): 0.38

Record 15
A plane-wave DFT calculation with PBE-GGA was carried out for an optimized crystal structure of CaNd2Co.

```
4
Lattice="3.528 0.000 0.000 0.000 3.528 0.000 0.000 0.000 9.655" Properties=species:S:1:pos:R:3 pbc="T T T"
Ca 0.000 0.000 0.000
Nd 1.764 1.764 3.174
Nd 1.764 1.764 6.481
Co 0.000 0.000 4.828
```

Values from the calculation:
Size of the total moment (μB per formula unit): 0.77
VASP energy (eV/atom): -4.618
ΔE_f (kcal/mol of atoms): 0.99
Volume (Å³/cell): 120.2
Distance to the lowest polymorph of the same formula (eV/f.u.): 0.31

Record 16
A plane-wave DFT calculation with PBE-GGA was carried out for an optimized crystal structure of CaNd2Co.

```
4
Lattice="2.000 1.155 9.436 -2.000 1.155 9.436 0.000 -2.309 9.436" Properties=species:S:1:pos:R:3 pbc="T T T"
Ca 0.000 0.000 0.000
Nd 0.000 0.000 6.241
Nd 0.000 0.000 12.717
Co 0.000 0.000 23.639
```

Values from the calculation:
Size of the total moment (μB per formula unit): 0.00
VASP energy (eV/atom): -4.659
ΔE_f (kcal/mol of atoms): 0.03
Volume (Å³/cell): 130.7
Distance to the lowest polymorph of the same formula (eV/f.u.): 0.14